LiNbO3 after structural relaxation. Source: the Open Quantum Materials Database, functional GGA-PBE.

a = 5.0130 Å, b = 5.0130 Å, c = 5.0130 Å
α = 62.38°, β = 62.38°, γ = 62.38°
Fractional coordinates of all 10 atoms:
Li: 0.0000 0.0000 0.0000
Li: 0.5000 0.5000 0.5000
Nb: 0.2500 0.2500 0.2500
Nb: 0.7500 0.7500 0.7500
O: 0.1112 0.7500 0.3888
O: 0.2500 0.6112 0.8888
O: 0.3888 0.1112 0.7500
O: 0.6112 0.8888 0.2500
O: 0.7500 0.3888 0.1112
O: 0.8888 0.2500 0.6112

* crystal system: trigonal
* theoretical density: 5.2 g/cm³
* VASP energy: -7.467 eV per atom
* symmetry: No. 167